[1]
Entry from Alexandria via LeMat-Bulk: a geometry-optimized Cs2BaTlCl6 structure (PBE-GGA).

Lattice parameters (Å, degrees): 8.2708 8.2713 8.2862 119.94 119.91 90.00
Sites, in units of the cell vectors:
Cl1 0.7414 0.7422 0.9688
Cl2 0.2259 0.2262 0.9659
Cl3 0.2267 0.7416 0.9678
Cl4 0.7409 0.2270 0.9669
Cl5 0.2407 0.2419 0.4814
Cl6 0.7548 0.7548 0.5115
Cs1 0.7836 0.2845 0.5668
Cs2 0.2839 0.7837 0.5668
Ba1 0.5012 0.5017 0.0024
Tl1 0.9999 0.0004 0.9997

Its raw formation energy is -1.728 eV per atom. The total energy is -3.44 eV/atom.

***

[2]
Entry from Alexandria via LeMat-Bulk: a geometry-optimized Cs2BaTlCl5 structure (PBE-GGA).

Lattice parameters (Å, degrees): 4.8019 10.2841 15.5851 90.00 90.00 103.50
Sites, in units of the cell vectors:
Cl1 0.6224 0.2447 0.4920
Cl2 0.7023 0.4046 0.9013
Cl3 0.5060 0.0120 0.2696
Cl4 0.7390 0.4781 0.1537
Cl5 0.2977 0.5954 0.4013
Cl6 0.0780 0.1560 0.0701
Cl7 0.9220 0.8440 0.5701
Cl8 0.2610 0.5219 0.6537
Cl9 0.4940 0.9880 0.7696
Cl10 0.3776 0.7553 0.9920
Cs1 0.1325 0.2650 0.2955
Cs2 0.9159 0.8318 0.1627
Cs3 0.8675 0.7350 0.7955
Cs4 0.0841 0.1682 0.6627
Ba1 0.7734 0.5467 0.5241
Ba2 0.2266 0.4533 0.0241
Tl1 0.5388 0.0776 0.9548
Tl2 0.4612 0.9224 0.4548

Its raw formation energy is -1.916 eV per atom. The total energy is -3.61 eV/atom.

***

[3]
Entry from Alexandria via LeMat-Bulk: a geometry-optimized Cs2BaTmCl6 structure (PBE-GGA).

Lattice parameters (Å, degrees): 7.6585 8.5029 11.3858 90.00 90.00 90.00
Sites, in units of the cell vectors:
Cl1 0.0000 0.7729 0.7682
Cl2 0.7635 0.9989 0.0000
Cl3 0.5000 0.2271 0.7318
Cl4 0.5000 0.2271 0.2682
Cl5 0.2429 0.5545 0.0000
Cl6 0.7365 0.0011 0.5000
Cl7 0.2365 0.9989 0.0000
Cl8 0.7429 0.4455 0.5000
Cl9 0.2571 0.4455 0.5000
Cl10 0.2635 0.0011 0.5000
Cl11 0.0000 0.7729 0.2318
Cl12 0.7571 0.5545 0.0000
Ba1 0.5000 0.2759 0.0000
Ba2 0.0000 0.7241 0.5000
Cs1 0.5000 0.7844 0.7695
Cs2 0.0000 0.2156 0.7305
Cs3 0.0000 0.2156 0.2695
Cs4 0.5000 0.7844 0.2305
Tm1 0.5000 0.2277 0.5000
Tm2 0.0000 0.7723 0.0000

Its raw formation energy is -2.070 eV per atom. The total energy is -3.99 eV/atom.

***

[4]
Entry from Alexandria via LeMat-Bulk: a geometry-optimized CsBaTmCl6 structure (PBE-GGA).

Lattice parameters (Å, degrees): 7.6748 7.6748 14.4037 90.00 90.00 120.00
Sites, in units of the cell vectors:
Cl1 0.9546 0.3519 0.1448
Cl2 0.3519 0.9546 0.6448
Cl3 0.3972 0.0454 0.1448
Cl4 0.6028 0.9546 0.8552
Cl5 0.0454 0.6481 0.8552
Cl6 0.6481 0.6028 0.1448
Cl7 0.9546 0.6028 0.3552
Cl8 0.0454 0.3972 0.6448
Cl9 0.3972 0.3519 0.3552
Cl10 0.3519 0.3972 0.8552
Cl11 0.6028 0.6481 0.6448
Cl12 0.6481 0.0454 0.3552
Tm1 0.3333 0.6667 0.7500
Tm2 0.6667 0.3333 0.2500
Ba1 0.6667 0.3333 0.7500
Ba2 0.3333 0.6667 0.2500
Cs1 0.0000 0.0000 0.0000
Cs2 0.0000 0.0000 0.5000

Its raw formation energy is -2.329 eV per atom. The total energy is -4.37 eV/atom.

***

[5]
Entry from Alexandria via LeMat-Bulk: a geometry-optimized Cs2BaYCl6 structure (PBE-GGA).

Lattice parameters (Å, degrees): 7.7572 8.5139 11.4627 90.00 90.00 90.00
Sites, in units of the cell vectors:
Cl1 0.5000 0.2252 0.2644
Cl2 0.5000 0.2252 0.7356
Cl3 0.7461 0.4490 0.5000
Cl4 0.2461 0.5510 0.0000
Cl5 0.2539 0.4490 0.5000
Cl6 0.2381 0.0048 0.0000
Cl7 0.7539 0.5510 0.0000
Cl8 0.0000 0.7748 0.2356
Cl9 0.7619 0.0048 0.0000
Cl10 0.2619 0.9952 0.5000
Cl11 0.7381 0.9952 0.5000
Cl12 0.0000 0.7748 0.7644
Ba1 0.5000 0.2767 0.0000
Ba2 0.0000 0.7233 0.5000
Y1 0.0000 0.7730 0.0000
Y2 0.5000 0.2270 0.5000
Cs1 0.5000 0.7878 0.2278
Cs2 0.5000 0.7878 0.7722
Cs3 0.0000 0.2122 0.2722
Cs4 0.0000 0.2122 0.7278

Its raw formation energy is -2.084 eV per atom. The total energy is -4.20 eV/atom.

***

[6]
Entry from Alexandria via LeMat-Bulk: a geometry-optimized Ba2CuCl6 structure (PBE-GGA).

Lattice parameters (Å, degrees): 6.8397 6.8397 12.9666 90.00 90.00 90.00
Sites, in units of the cell vectors:
Cl1 0.8275 0.1725 0.8694
Cl2 0.7128 0.7128 0.0000
Cl3 0.6725 0.6725 0.6306
Cl4 0.1725 0.8275 0.8694
Cl5 0.2128 0.7872 0.5000
Cl6 0.2872 0.2872 0.0000
Cl7 0.3275 0.3275 0.3694
Cl8 0.1725 0.8275 0.1306
Cl9 0.7872 0.2128 0.5000
Cl10 0.6725 0.6725 0.3694
Cl11 0.8275 0.1725 0.1306
Cl12 0.3275 0.3275 0.6306
Ba1 0.0000 0.0000 0.3334
Ba2 0.5000 0.5000 0.8334
Ba3 0.0000 0.0000 0.6666
Ba4 0.5000 0.5000 0.1666
Cu1 0.0000 0.0000 0.0000
Cu2 0.5000 0.5000 0.5000

For the energy relative to the lowest polymorph listed for this composition, the calculation gives 131 meV per atom. Its raw formation energy is -1.722 eV per atom. The total energy is -3.84 eV/atom.